Run A
# LaZrAs2Se PBE optimized geometry
# size of the total moment = 0.0 μB/f.u.
data_LaZrAs2Se
_chemical_formula_sum 'La1 Zr1 As2 Se1'
_symmetry_space_group_name_H-M 'P 4/m m m'
_symmetry_Int_Tables_number 123
_symmetry_space_group_name_Hall '-P 4 2'
_cell_length_a 5.142
_cell_length_b 5.142
_cell_length_c 5.210
_cell_angle_alpha 90.00
_cell_angle_beta 90.00
_cell_angle_gamma 90.00
loop_
_atom_site_label
_atom_site_type_symbol
_atom_site_fract_x
_atom_site_fract_y
_atom_site_fract_z
_atom_site_occupancy
La1 La 0.000 0.000 0.000 1
Zr1 Zr 0.500 0.500 0.500 1
As1 As 0.000 0.500 0.500 1
Se1 Se 0.500 0.500 0.000 1

Run B
# LaZrAs2Se PBE optimized geometry
# size of the total moment = 0.5 μB/f.u.
data_LaZrAs2Se
_chemical_formula_sum 'La1 Zr1 As2 Se1'
_symmetry_space_group_name_H-M 'P 4/m m m'
_symmetry_Int_Tables_number 123
_symmetry_space_group_name_Hall '-P 4 2'
_cell_length_a 5.478
_cell_length_b 5.478
_cell_length_c 5.534
_cell_angle_alpha 90.00
_cell_angle_beta 90.00
_cell_angle_gamma 90.00
loop_
_atom_site_label
_atom_site_type_symbol
_atom_site_fract_x
_atom_site_fract_y
_atom_site_fract_z
_atom_site_occupancy
La1 La 0.000 0.000 0.000 1
Zr1 Zr 0.500 0.500 0.500 1
As1 As 0.000 0.500 0.000 1
Se1 Se 0.000 0.000 0.500 1

Computed stability ranking, most favorable first: run A, run B

Run A
# LaSmAs2 PBE optimized geometry
# size of the total moment = 0.0 μB/f.u.
data_LaSmAs2
_chemical_formula_sum 'La3 Sm3 As6'
_symmetry_space_group_name_H-M 'R -3 m'
_symmetry_Int_Tables_number 166
_symmetry_space_group_name_Hall '-R 3 2"'
_cell_length_a 4.2973
_cell_length_b 4.2973
_cell_length_c 21.0316
_cell_angle_alpha 90.00
_cell_angle_beta 90.00
_cell_angle_gamma 120.00
loop_
_atom_site_label
_atom_site_type_symbol
_atom_site_fract_x
_atom_site_fract_y
_atom_site_fract_z
_atom_site_occupancy
La1 La 0.0000 0.0000 0.0000 1
Sm1 Sm 0.0000 0.0000 0.5000 1
As1 As 0.0000 0.0000 0.2475 1

Run B
# LaSmAs2 PBE optimized geometry
# size of the total moment = 0.0 μB/f.u.
data_LaSmAs2
_chemical_formula_sum 'La3 Sm3 As6'
_symmetry_space_group_name_H-M 'R 3 m'
_symmetry_Int_Tables_number 160
_symmetry_space_group_name_Hall 'R 3 -2"'
_cell_length_a 4.2475
_cell_length_b 4.2475
_cell_length_c 21.9587
_cell_angle_alpha 90.00
_cell_angle_beta 90.00
_cell_angle_gamma 120.00
loop_
_atom_site_label
_atom_site_type_symbol
_atom_site_fract_x
_atom_site_fract_y
_atom_site_fract_z
_atom_site_occupancy
La1 La 0.0000 0.0000 0.0000 1
Sm1 Sm 0.0000 0.0000 0.1711 1
As1 As 0.0000 0.0000 0.4209 1
As2 As 0.0000 0.0000 0.5847 1

Computed stability ranking, most favorable first: run A, run B

Run A
# SrLaAs2 PBE optimized geometry
# size of the total moment = 0.0 μB/f.u.
data_SrLaAs2
_chemical_formula_sum 'Sr1 La1 As2'
_symmetry_space_group_name_H-M 'P m m m'
_symmetry_Int_Tables_number 47
_cell_length_a 3.341
_cell_length_b 3.982
_cell_length_c 7.975
_cell_angle_alpha 90.00
_cell_angle_beta 90.00
_cell_angle_gamma 90.00
loop_
_symmetry_equiv_pos_as_xyz
'x,y,z'
'-x,-y,-z'
'-x,-y,z'
'x,y,-z'
'x,-y,-z'
'-x,y,z'
'-x,y,-z'
'x,-y,z'
loop_
_atom_site_label
_atom_site_type_symbol
_atom_site_fract_x
_atom_site_fract_y
_atom_site_fract_z
_atom_site_occupancy
Sr1 Sr 0.000 0.000 0.000 1
La1 La 0.000 0.000 0.500 1
As1 As 0.500 0.500 0.258 1

Run B
# SrLaAs2 PBE optimized geometry
# size of the total moment = 0.2 μB/f.u.
data_SrLaAs2
_chemical_formula_sum 'Sr2 La2 As4'
_symmetry_space_group_name_H-M 'C 1 2/m 1'
_symmetry_Int_Tables_number 12
_cell_length_a 7.948
_cell_length_b 7.947
_cell_length_c 3.345
_cell_angle_alpha 90.00
_cell_angle_beta 90.10
_cell_angle_gamma 90.00
loop_
_symmetry_equiv_pos_as_xyz
'x,y,z'
'-x,-y,-z'
'-x,y,-z'
'x,-y,z'
'x+1/2,y+1/2,z'
'-x+1/2,-y+1/2,-z'
'-x+1/2,y+1/2,-z'
'x+1/2,-y+1/2,z'
loop_
_atom_site_label
_atom_site_type_symbol
_atom_site_fract_x
_atom_site_fract_y
_atom_site_fract_z
_atom_site_occupancy
Sr1 Sr 0.000 0.000 0.000 1
La1 La 0.000 0.500 0.000 1
As1 As 0.250 0.250 0.500 1

Run C
# SrLaAs2 PBE optimized geometry
# size of the total moment = 0.0 μB/f.u.
data_SrLaAs2
_chemical_formula_sum 'Sr4 La4 As8'
_symmetry_space_group_name_H-M 'F -4 3 m'
_symmetry_Int_Tables_number 216
_symmetry_space_group_name_Hall 'F -4 2 3'
_cell_length_a 7.440
_cell_length_b 7.440
_cell_length_c 7.440
_cell_angle_alpha 90.00
_cell_angle_beta 90.00
_cell_angle_gamma 90.00
loop_
_atom_site_label
_atom_site_type_symbol
_atom_site_fract_x
_atom_site_fract_y
_atom_site_fract_z
_atom_site_occupancy
Sr1 Sr 0.000 0.000 0.000 1
La1 La 0.250 0.250 0.750 1
As1 As 0.000 0.000 0.500 1
As2 As 0.250 0.250 0.250 1

Computed stability ranking, most favorable first: run A, run B, run C

Run A
# SrLaAs2 PBE optimized geometry
# size of the total moment = 0.0 μB/f.u.
data_SrLaAs2
_chemical_formula_sum 'Sr2 La2 As4'
_symmetry_space_group_name_H-M 'C m m m'
_symmetry_Int_Tables_number 65
_symmetry_space_group_name_Hall '-C 2 2'
_cell_length_a 4.838
_cell_length_b 5.793
_cell_length_c 7.956
_cell_angle_alpha 90.00
_cell_angle_beta 90.00
_cell_angle_gamma 90.00
loop_
_atom_site_label
_atom_site_type_symbol
_atom_site_fract_x
_atom_site_fract_y
_atom_site_fract_z
_atom_site_occupancy
Sr1 Sr 0.000 0.000 0.000 1
La1 La 0.000 0.000 0.500 1
As1 As 0.000 0.500 0.262 1

Run B
# SrLaAs2 PBE optimized geometry
# size of the total moment = 0.0 μB/f.u.
data_SrLaAs2
_chemical_formula_sum 'Sr4 La4 As8'
_symmetry_space_group_name_H-M 'F m -3 m'
_symmetry_Int_Tables_number 225
_symmetry_space_group_name_Hall '-F 4 2 3'
_cell_length_a 7.562
_cell_length_b 7.562
_cell_length_c 7.562
_cell_angle_alpha 90.00
_cell_angle_beta 90.00
_cell_angle_gamma 90.00
loop_
_atom_site_label
_atom_site_type_symbol
_atom_site_fract_x
_atom_site_fract_y
_atom_site_fract_z
_atom_site_occupancy
Sr1 Sr 0.000 0.000 0.000 1
La1 La 0.000 0.000 0.500 1
As1 As 0.250 0.250 0.250 1

Computed stability ranking, most favorable first: run A, run B

Run A
# SrLaAs2 PBE optimized geometry
# size of the total moment = 0.0 μB/f.u.
data_SrLaAs2
_chemical_formula_sum 'Sr3 La3 As6'
_symmetry_space_group_name_H-M 'R -3 m'
_symmetry_Int_Tables_number 166
_symmetry_space_group_name_Hall '-R 3 2"'
_cell_length_a 4.4367
_cell_length_b 4.4367
_cell_length_c 21.7384
_cell_angle_alpha 90.00
_cell_angle_beta 90.00
_cell_angle_gamma 120.00
loop_
_atom_site_label
_atom_site_type_symbol
_atom_site_fract_x
_atom_site_fract_y
_atom_site_fract_z
_atom_site_occupancy
Sr1 Sr 0.0000 0.0000 0.0000 1
La1 La 0.0000 0.0000 0.5000 1
As1 As 0.0000 0.0000 0.2446 1

Run B
# SrLaAs2 PBE optimized geometry
# size of the total moment = 0.0 μB/f.u.
data_SrLaAs2
_chemical_formula_sum 'Sr4 La4 As8'
_symmetry_space_group_name_H-M 'I -4 2 d'
_symmetry_Int_Tables_number 122
_symmetry_space_group_name_Hall 'I -4 2bw'
_cell_length_a 8.068
_cell_length_b 8.068
_cell_length_c 7.552
_cell_angle_alpha 90.00
_cell_angle_beta 90.00
_cell_angle_gamma 90.00
loop_
_atom_site_label
_atom_site_type_symbol
_atom_site_fract_x
_atom_site_fract_y
_atom_site_fract_z
_atom_site_occupancy
Sr1 Sr 0.000 0.000 0.000 1
La1 La 0.000 0.000 0.500 1
As1 As 0.242 0.750 0.625 1

Run C
# SrLaAs2 PBE optimized geometry
# size of the total moment = 0.0 μB/f.u.
data_SrLaAs2
_chemical_formula_sum 'Sr2 La2 As4'
_symmetry_space_group_name_H-M 'I m m 2'
_symmetry_Int_Tables_number 44
_cell_length_a 4.384
_cell_length_b 4.388
_cell_length_c 11.406
_cell_angle_alpha 90.00
_cell_angle_beta 90.00
_cell_angle_gamma 90.00
loop_
_symmetry_equiv_pos_as_xyz
'x,y,z'
'-x,-y,z'
'-x,y,z'
'x,-y,z'
'x+1/2,y+1/2,z+1/2'
'-x+1/2,-y+1/2,z+1/2'
'-x+1/2,y+1/2,z+1/2'
'x+1/2,-y+1/2,z+1/2'
loop_
_atom_site_label
_atom_site_type_symbol
_atom_site_fract_x
_atom_site_fract_y
_atom_site_fract_z
_atom_site_occupancy
Sr1 Sr 0.000 0.000 0.000 1
La1 La 0.000 0.500 0.250 1
As1 As 0.000 0.000 0.502 1
As2 As 0.000 0.500 0.751 1

Run D
# SrLaAs2 PBE optimized geometry
# size of the total moment = 0.0 μB/f.u.
data_SrLaAs2
_chemical_formula_sum 'Sr1 La1 As2'
_symmetry_space_group_name_H-M 'P m m 2'
_symmetry_Int_Tables_number 25
_cell_length_a 4.418
_cell_length_b 6.249
_cell_length_c 4.421
_cell_angle_alpha 90.00
_cell_angle_beta 90.00
_cell_angle_gamma 90.00
loop_
_symmetry_equiv_pos_as_xyz
'x,y,z'
'-x,-y,z'
'-x,y,z'
'x,-y,z'
loop_
_atom_site_label
_atom_site_type_symbol
_atom_site_fract_x
_atom_site_fract_y
_atom_site_fract_z
_atom_site_occupancy
Sr1 Sr 0.000 0.000 0.000 1
La1 La 0.500 0.500 0.499 1
As1 As 0.000 0.500 0.999 1
As2 As 0.500 0.000 0.500 1

Computed stability ranking, most favorable first: run A, run D, run B, run C

Run A
# SrLaAs2 PBE optimized geometry
# size of the total moment = 0.0 μB/f.u.
data_SrLaAs2
_chemical_formula_sum 'Sr3 La3 As6'
_symmetry_space_group_name_H-M 'R 3 m'
_symmetry_Int_Tables_number 160
_symmetry_space_group_name_Hall 'R 3 -2"'
_cell_length_a 4.3811
_cell_length_b 4.3811
_cell_length_c 22.6535
_cell_angle_alpha 90.00
_cell_angle_beta 90.00
_cell_angle_gamma 120.00
loop_
_atom_site_label
_atom_site_type_symbol
_atom_site_fract_x
_atom_site_fract_y
_atom_site_fract_z
_atom_site_occupancy
Sr1 Sr 0.0000 0.0000 0.0000 1
La1 La 0.0000 0.0000 0.8275 1
As1 As 0.0000 0.0000 0.2405 1
As2 As 0.0000 0.0000 0.4191 1

Run B
# SrLaAs2 PBE optimized geometry
# size of the total moment = 0.0 μB/f.u.
data_SrLaAs2
_chemical_formula_sum 'Sr2 La2 As4'
_symmetry_space_group_name_H-M 'C 1 m 1'
_symmetry_Int_Tables_number 8
_cell_length_a 11.578
_cell_length_b 4.222
_cell_length_c 4.660
_cell_angle_alpha 90.00
_cell_angle_beta 95.88
_cell_angle_gamma 90.00
loop_
_symmetry_equiv_pos_as_xyz
'x,y,z'
'x,-y,z'
'x+1/2,y+1/2,z'
'x+1/2,-y+1/2,z'
loop_
_atom_site_label
_atom_site_type_symbol
_atom_site_fract_x
_atom_site_fract_y
_atom_site_fract_z
_atom_site_occupancy
Sr1 Sr 0.000 0.000 0.000 1
La1 La 0.247 0.500 0.516 1
As1 As 0.266 0.000 0.039 1
As2 As 0.473 0.000 0.484 1

Computed stability ranking, most favorable first: run A, run B